AgAu (PBE, optimized geometry); space-group type = Imma
1.0
-14.657 10.501 11.267
-12.971 14.884 7.891
11.768 -13.503 -11.456
Au Ag
10 10
Cartesian
-15.227 12.577 10.011
4.890 -5.769 -6.138
2.129 -3.233 -4.224
-12.465 10.040 8.096
-0.633 -0.695 -2.309
-17.989 15.115 11.926
-6.156 4.380 1.521
-9.704 7.502 6.181
-3.394 1.843 -0.394
-20.749 17.651 13.841
-6.941 4.964 4.265
-8.919 6.919 3.437
-8.856 9.690 4.489
-1.412 -0.116 0.432
-7.004 2.193 3.213
-4.239 -0.347 1.296
-14.447 11.999 7.271
-11.685 9.461 5.355
-4.175 2.422 2.347
-11.620 12.230 6.406

---

TaSnPO (PBE, optimized geometry); polymorph energy (0 for the lowest one) = 83 meV per atom; magnetic moment = 0.03 μB per cell; space-group type = Pmc2_1
1.0
-1.067 -1.325 -3.474
6.919 -3.608 -0.749
-1.934 -4.161 2.180
Sn O Ta P
2 2 2 2
Cartesian
1.104 -5.312 1.686
3.239 -3.840 0.470
0.284 -2.445 0.845
3.950 -6.940 1.433
-0.500 -2.984 -0.862
3.662 -7.739 -0.327
4.243 -5.466 -1.372
-1.088 -5.271 0.190

---

SmMo (PBE, optimized geometry); polymorph energy (0 for the lowest one) = 557 meV per atom; magnetic moment = 0.04 μB per cell; space-group type = Fm-3m
1.0
0.000 2.907 2.907
2.907 0.000 2.907
2.907 2.907 0.000
Mo Sm
1 1
Cartesian
0.000 0.000 0.000
2.907 2.907 2.907

---

La2NiAu (PBE, optimized geometry); magnetic moment = 0.00 μB per cell; space-group type = Amm2
1.0
-2.453 -1.881 -3.428
-4.765 -0.221 3.531
-4.696 3.276 1.563
Au La Ni
1 2 1
Cartesian
-6.707 0.829 1.236
-9.410 1.701 2.691
-1.318 0.425 0.709
-3.941 1.272 2.122

---

Uncorrected energy per entry: -3.10, -7.47, -6.36, -5.22 eV per atom